(1)
This record from the Alexandria database describes crystalline YBiRh2 at its relaxed geometry. The functional is PBE.

Geometry as POSCAR:
```
YBiRh2
1.0
-2.229 2.229 9.061
2.229 -2.229 9.061
2.229 2.229 -9.061
Y Bi Rh
2 2 4
Cartesian
0.000 0.000 0.000
0.000 2.229 4.531
2.229 0.000 4.531
0.000 0.000 9.061
1.115 -0.987 6.796
1.242 1.115 2.265
1.115 3.216 -2.265
0.987 1.115 11.326
```

ΔH_f (0 K) = -0.09 eV per atom
Space-group type = I-42d



(2)
This record from the Alexandria database describes crystalline Sm2ScSb2 at its relaxed geometry. The functional is PBE.

Geometry as POSCAR:
```
Sm2ScSb2
1.0
-4.073 5.972 3.122
4.073 -5.972 3.122
4.073 5.972 -3.122
Sm Sc Sb
4 2 4
Cartesian
1.196 1.765 0.000
5.269 4.207 0.000
-1.196 1.765 3.122
2.876 4.207 3.122
4.073 0.000 1.561
0.000 5.972 1.561
6.237 1.284 0.000
2.165 4.687 0.000
1.908 1.284 3.122
-2.165 4.687 3.122
```

Uncorrected formation energy = -0.84 eV per atom
Space-group type = Ibam



(3)
This record from the Alexandria database describes crystalline Sm5UCo4 at its relaxed geometry. The functional is PBE.

Geometry as POSCAR:
```
Sm5UCo4
1.0
8.868 -2.047 0.000
8.868 2.047 0.000
-2.881 0.000 6.554
Sm U Co
5 1 4
Cartesian
0.000 0.000 0.000
2.991 0.000 6.136
4.740 0.000 2.997
10.115 0.000 3.557
11.865 0.000 0.418
-1.440 0.000 3.277
0.042 0.000 5.120
7.716 0.000 1.914
7.139 0.000 4.640
14.813 0.000 1.434
```

ΔH_f (0 K) = -0.15 eV per atom
Space-group type = C2/m



(4)
This record from the Alexandria database describes crystalline YPd14Au at its relaxed geometry. The functional is PBE.

Geometry as POSCAR:
```
YPd14Au
1.0
5.654 0.000 0.000
0.000 5.654 0.000
0.000 0.000 8.072
Y Pd Au
1 14 1
Cartesian
0.000 0.000 0.000
0.000 0.000 4.036
0.000 2.827 0.000
0.000 2.827 4.036
1.421 1.421 2.067
1.421 1.421 6.005
1.421 4.233 2.067
1.421 4.233 6.005
2.827 0.000 0.000
2.827 0.000 4.036
2.827 2.827 4.036
4.233 1.421 2.067
4.233 1.421 6.005
4.233 4.233 2.067
4.233 4.233 6.005
2.827 2.827 0.000
```

ΔH_f (0 K) = -0.21 eV per atom
Space-group type = P4/mmm



(5)
This record from the Alexandria database describes crystalline NdYGaRu at its relaxed geometry. The functional is PBE.

Geometry as POSCAR:
```
NdYGaRu
1.0
4.385 0.000 0.000
0.000 2.011 5.393
0.000 -2.011 5.393
Nd Y Ga Ru
1 1 1 1
Cartesian
0.000 0.000 0.000
2.192 0.000 7.723
2.192 0.000 4.512
0.000 0.000 3.112
```

ΔH_f (0 K) = -0.43 eV per atom
ΔE to the lowest computed polymorph = 0.0 meV per atom
Space-group type = Amm2



(6)
This record from the Alexandria database describes crystalline LiPbW2 at its relaxed geometry. The functional is PBE.

Geometry as POSCAR:
```
LiPbW2
1.0
4.581 -1.409 0.000
4.581 1.409 0.000
-0.449 0.000 5.587
Li Pb W
1 1 2
Cartesian
0.000 0.000 0.000
1.939 0.000 4.325
4.410 0.000 2.598
6.760 0.000 1.464
```

ΔH_f (0 K) = 0.72 eV per atom
Space-group type = Cm



(7)
This record from the Alexandria database describes crystalline RbNbGaO4 at its relaxed geometry. The functional is PBE.

Geometry as POSCAR:
```
RbNbGaO4
1.0
0.000 4.409 4.409
4.409 0.000 4.409
4.409 4.409 0.000
Rb Nb Ga O
1 1 1 4
Cartesian
0.000 0.000 0.000
6.613 6.613 6.613
4.409 4.409 4.409
5.525 3.293 3.293
3.293 5.525 3.293
3.293 3.293 5.525
5.525 5.525 5.525
```

Uncorrected formation energy = -1.90 eV per atom
Space-group type = F-43m



(8)
This record from the Alexandria database describes crystalline UPaTi at its relaxed geometry. The functional is PBE.

Geometry as POSCAR:
```
UPaTi
1.0
4.913 0.000 0.000
-2.456 4.255 0.000
0.000 0.000 2.859
U Pa Ti
1 1 1
Cartesian
0.000 0.000 0.000
0.000 2.836 0.000
2.456 1.418 1.430
```

ΔH_f (0 K) = 0.00 eV per atom
ΔE to the lowest computed polymorph = 0.0 meV per atom
Space-group type = P-6m2



(9)
This record from the Alexandria database describes crystalline CoBiS2N at its relaxed geometry. The functional is PBE.

Geometry as POSCAR:
```
CoBiS2N
1.0
4.830 0.000 0.000
0.000 4.830 0.000
0.000 0.000 3.484
Co Bi S N
1 1 2 1
Cartesian
0.000 0.000 0.000
2.415 2.415 1.742
0.000 2.415 0.000
2.415 0.000 0.000
0.000 0.000 1.742
```

ΔE to the lowest computed polymorph = 0.0 meV per atom
Uncorrected formation energy = 0.23 eV per atom
Space-group type = P4/mmm



(10)
This record from the Alexandria database describes crystalline VInH at its relaxed geometry. The functional is PBE.

Geometry as POSCAR:
```
VInH
1.0
5.421 -1.635 0.000
5.421 1.635 0.000
-0.645 0.000 4.798
V In H
2 2 2
Cartesian
2.173 0.000 1.498
8.024 0.000 3.301
0.285 0.000 3.712
9.912 0.000 1.086
3.295 0.000 2.861
6.902 0.000 1.937
```

ΔE to the lowest computed polymorph = 91.0 meV per atom
Space-group type = C2/m



(11)
This record from the Alexandria database describes crystalline Er2LuMg at its relaxed geometry. The functional is PBE.

Geometry as POSCAR:
```
Er2LuMg
1.0
3.518 0.000 0.000
0.000 3.518 0.000
0.000 0.000 9.245
Er Lu Mg
2 1 1
Cartesian
0.000 0.000 2.231
0.000 0.000 7.014
1.759 1.759 4.622
1.759 1.759 0.000
```

ΔH_f (0 K) = -0.02 eV per atom
ΔE to the lowest computed polymorph = 0.0 meV per atom
Space-group type = P4/mmm



(12)
This record from the Alexandria database describes crystalline Ba5TlS8 at its relaxed geometry. The functional is PBE.

Geometry as POSCAR:
```
Ba5TlS8
1.0
-4.529 4.529 5.157
4.529 -4.529 5.157
4.529 4.529 -5.157
Ba Tl S
5 1 8
Cartesian
0.000 0.000 0.000
2.334 -1.167 3.941
3.362 2.195 1.216
2.195 5.697 -1.216
1.167 2.334 6.373
0.000 4.529 2.579
3.835 2.563 -2.054
6.221 0.950 0.819
0.950 2.838 -0.819
0.694 1.966 3.104
3.579 1.692 4.339
1.966 -0.694 7.211
2.563 5.223 2.054
-1.692 3.579 5.976
```

Uncorrected formation energy = -1.27 eV per atom
Space-group type = I-4



Asked for total energy across the records above, the calculation gives -6.35 -5.64 -6.48 -5.36 -6.31 -7.16 -6.74 -9.56 -5.28 -4.96 -3.83 -4.48 eV/atom in order.
Asked for DOS at the Fermi energy across the records above, the calculation gives 0.858 0.784 0.988 2.015 0.906 0.667 0.603 1.158 0.383 0.708 1.343 0.483 states/eV per atom in order.